A.
Computed, not measured: a relaxed Tl2BiRhI crystal at the PBE level of DFT.

a = 6.287 Å, b = 6.287 Å, c = 4.861 Å
α = 90.00°, β = 90.00°, γ = 90.00°
Positions (direct):
Tl (0.000, 0.500, 0.000)
Tl (0.500, 0.000, 0.000)
Bi (0.000, 0.000, 0.500)
Rh (0.500, 0.500, 0.500)
I (0.500, 0.500, 0.000)

Output
Crystal system = tetragonal
SG = P4/mmm, No. 123

---

B.
Computed, not measured: a relaxed Tl2BiRhI crystal at the PBE level of DFT.

a = 5.421 Å, b = 5.421 Å, c = 5.299 Å
α = 90.00°, β = 90.00°, γ = 90.00°
Positions (direct):
Tl (0.000, 0.500, 0.000)
Tl (0.500, 0.000, 0.000)
Bi (0.000, 0.000, 0.500)
Rh (0.000, 0.000, 0.000)
I (0.500, 0.500, 0.500)

Output
Crystal system = tetragonal
SG = P4/mmm, No. 123

---

Most stable structure: B

---

A.
Computed, not measured: a relaxed BiRuI2 crystal at the PBE level of DFT.

a = 5.311 Å, b = 5.311 Å, c = 5.311 Å
α = 60.00°, β = 60.00°, γ = 60.00°
Positions (direct):
Bi (0.000, 0.000, 0.000)
Ru (0.500, 0.500, 0.500)
I (0.250, 0.250, 0.250)
I (0.750, 0.750, 0.750)

Output
Crystal system = cubic
SG = Fm-3m, No. 225

---

B.
Computed, not measured: a relaxed BiRuI2 crystal at the PBE level of DFT.

a = 7.562 Å, b = 7.562 Å, c = 7.562 Å
α = 97.07°, β = 97.07°, γ = 138.93°
Positions (direct):
Bi (0.000, 0.000, 0.000)
Bi (0.750, 0.250, 0.500)
Ru (0.250, 0.750, 0.500)
Ru (0.500, 0.500, 0.000)
I (0.274, 0.625, 0.149)
I (0.375, 0.524, 0.649)
I (0.476, 0.125, 0.851)
I (0.875, 0.726, 0.351)

Output
Crystal system = tetragonal
SG = I-42d, No. 122

---

Most stable structure: B

---

A.
Computed, not measured: a relaxed BiS2I crystal at the PBE level of DFT.

a = 8.485 Å, b = 8.485 Å, c = 8.485 Å
α = 29.41°, β = 29.41°, γ = 29.41°
Positions (direct):
Bi (0.000, 0.000, 0.000)
S (0.392, 0.392, 0.392)
S (0.608, 0.608, 0.608)
I (0.500, 0.500, 0.500)

Output
Crystal system = trigonal
SG = R-3m, No. 166

---

B.
Computed, not measured: a relaxed BiS2I crystal at the PBE level of DFT.

a = 6.786 Å, b = 6.786 Å, c = 6.786 Å
α = 111.18°, β = 111.18°, γ = 106.10°
Positions (direct):
Bi (0.000, 0.000, 0.000)
Bi (0.750, 0.250, 0.500)
S (0.084, 0.625, 0.959)
S (0.375, 0.334, 0.459)
S (0.666, 0.125, 0.041)
S (0.875, 0.916, 0.541)
I (0.250, 0.750, 0.500)
I (0.500, 0.500, 0.000)

Output
Crystal system = tetragonal
SG = I-42d, No. 122

---

C.
Computed, not measured: a relaxed BiS2I crystal at the PBE level of DFT.

a = 5.098 Å, b = 5.098 Å, c = 5.098 Å
α = 60.00°, β = 60.00°, γ = 60.00°
Positions (direct):
Bi (0.000, 0.000, 0.000)
S (0.250, 0.250, 0.250)
S (0.750, 0.750, 0.750)
I (0.500, 0.500, 0.500)

Output
Crystal system = cubic
SG = Fm-3m, No. 225

---

D.
Computed, not measured: a relaxed BiS2I crystal at the PBE level of DFT.

a = 9.398 Å, b = 9.398 Å, c = 9.398 Å
α = 23.68°, β = 23.68°, γ = 23.68°
Positions (direct):
Bi (0.000, 0.000, 0.000)
S (0.096, 0.096, 0.096)
S (0.904, 0.904, 0.904)
I (0.500, 0.500, 0.500)

Output
Crystal system = trigonal
SG = R-3m, No. 166

---

Most stable structure: A

---

A.
Computed, not measured: a relaxed BiS3I crystal at the PBE level of DFT.

a = 5.319 Å, b = 5.319 Å, c = 5.319 Å
α = 90.00°, β = 90.00°, γ = 90.00°
Positions (direct):
Bi (0.000, 0.000, 0.000)
S (0.000, 0.000, 0.500)
S (0.000, 0.500, 0.000)
S (0.500, 0.000, 0.000)
I (0.500, 0.500, 0.500)

Output
Crystal system = cubic
SG = Pm-3m, No. 221

---

B.
Computed, not measured: a relaxed BiS3I crystal at the PBE level of DFT.

a = 5.097 Å, b = 5.097 Å, c = 5.097 Å
α = 90.00°, β = 90.00°, γ = 90.00°
Positions (direct):
Bi (0.000, 0.000, 0.000)
S (0.000, 0.500, 0.500)
S (0.500, 0.000, 0.500)
S (0.500, 0.500, 0.000)
I (0.500, 0.500, 0.500)

Output
Crystal system = cubic
SG = Pm-3m, No. 221

---

Most stable structure: A

---

A.
Computed, not measured: a relaxed Bi2SI2 crystal at the PBE level of DFT.

a = 8.058 Å, b = 8.058 Å, c = 8.058 Å
α = 143.79°, β = 143.79°, γ = 52.14°
Positions (direct):
Bi (0.104, 0.104, 0.000)
Bi (0.896, 0.896, 0.000)
S (0.500, 0.500, 0.000)
I (0.250, 0.750, 0.500)
I (0.750, 0.250, 0.500)

Output
Crystal system = tetragonal
SG = I4/mmm, No. 139

---

B.
Computed, not measured: a relaxed Bi2SI2 crystal at the PBE level of DFT.

a = 7.690 Å, b = 7.690 Å, c = 5.372 Å
α = 90.00°, β = 90.00°, γ = 90.00°
Positions (direct):
Bi (0.168, 0.332, 0.000)
Bi (0.332, 0.832, 0.000)
Bi (0.668, 0.168, 0.000)
Bi (0.832, 0.668, 0.000)
S (0.000, 0.000, 0.000)
S (0.500, 0.500, 0.000)
I (0.174, 0.674, 0.500)
I (0.326, 0.174, 0.500)
I (0.674, 0.826, 0.500)
I (0.826, 0.326, 0.500)

Output
Crystal system = tetragonal
SG = P4/mbm, No. 127

---

Most stable structure: B

---

A.
Computed, not measured: a relaxed BiSb2SI crystal at the PBE level of DFT.

a = 5.977 Å, b = 5.977 Å, c = 5.961 Å
α = 90.00°, β = 90.00°, γ = 90.00°
Positions (direct):
Bi (0.000, 0.000, 0.000)
Sb (0.000, 0.500, 0.000)
Sb (0.500, 0.000, 0.000)
S (0.500, 0.500, 0.500)
I (0.000, 0.000, 0.500)

Output
Crystal system = tetragonal
SG = P4/mmm, No. 123

---

B.
Computed, not measured: a relaxed BiSb2SI crystal at the PBE level of DFT.

a = 5.306 Å, b = 5.306 Å, c = 5.486 Å
α = 90.00°, β = 90.00°, γ = 90.00°
Positions (direct):
Bi (0.000, 0.000, 0.000)
Sb (0.000, 0.500, 0.500)
Sb (0.500, 0.000, 0.500)
S (0.500, 0.500, 0.500)
I (0.500, 0.500, 0.000)

Output
Crystal system = tetragonal
SG = P4/mmm, No. 123

---

Most stable structure: B

---

A.
Computed, not measured: a relaxed BiSbSI2 crystal at the PBE level of DFT.

a = 5.921 Å, b = 5.921 Å, c = 6.239 Å
α = 90.00°, β = 90.00°, γ = 90.00°
Positions (direct):
Bi (0.000, 0.000, 0.000)
Sb (0.000, 0.000, 0.500)
S (0.500, 0.500, 0.500)
I (0.000, 0.500, 0.000)
I (0.500, 0.000, 0.000)

Output
Crystal system = tetragonal
SG = P4/mmm, No. 123

---

B.
Computed, not measured: a relaxed BiSbSI2 crystal at the PBE level of DFT.

a = 5.530 Å, b = 5.530 Å, c = 5.361 Å
α = 90.00°, β = 90.00°, γ = 90.00°
Positions (direct):
Bi (0.000, 0.000, 0.000)
Sb (0.500, 0.500, 0.000)
S (0.500, 0.500, 0.500)
I (0.000, 0.500, 0.500)
I (0.500, 0.000, 0.500)

Output
Crystal system = tetragonal
SG = P4/mmm, No. 123

---

Most stable structure: B

---

A.
Computed, not measured: a relaxed BiTeSI2 crystal at the PBE level of DFT.

a = 6.092 Å, b = 6.092 Å, c = 6.198 Å
α = 90.00°, β = 90.00°, γ = 90.00°
Positions (direct):
Bi (0.000, 0.000, 0.000)
Te (0.000, 0.000, 0.500)
S (0.500, 0.500, 0.500)
I (0.000, 0.500, 0.000)
I (0.500, 0.000, 0.000)

Output
Crystal system = tetragonal
SG = P4/mmm, No. 123

---

B.
Computed, not measured: a relaxed BiTeSI2 crystal at the PBE level of DFT.

a = 5.507 Å, b = 5.507 Å, c = 5.391 Å
α = 90.00°, β = 90.00°, γ = 90.00°
Positions (direct):
Bi (0.000, 0.000, 0.000)
Te (0.500, 0.500, 0.000)
S (0.500, 0.500, 0.500)
I (0.000, 0.500, 0.500)
I (0.500, 0.000, 0.500)

Output
Crystal system = tetragonal
SG = P4/mmm, No. 123

---

Most stable structure: B

---

A.
Computed, not measured: a relaxed BiTe2SI crystal at the PBE level of DFT.

a = 5.286 Å, b = 5.286 Å, c = 5.586 Å
α = 90.00°, β = 90.00°, γ = 90.00°
Positions (direct):
Bi (0.000, 0.000, 0.000)
Te (0.000, 0.500, 0.500)
Te (0.500, 0.000, 0.500)
S (0.500, 0.500, 0.500)
I (0.500, 0.500, 0.000)

Output
Crystal system = tetragonal
SG = P4/mmm, No. 123

---

B.
Computed, not measured: a relaxed BiTe2SI crystal at the PBE level of DFT.

a = 6.061 Å, b = 6.061 Å, c = 6.088 Å
α = 90.00°, β = 90.00°, γ = 90.00°
Positions (direct):
Bi (0.000, 0.000, 0.000)
Te (0.000, 0.500, 0.000)
Te (0.500, 0.000, 0.000)
S (0.500, 0.500, 0.500)
I (0.000, 0.000, 0.500)

Output
Crystal system = tetragonal
SG = P4/mmm, No. 123

---

Most stable structure: A

---

A.
Computed, not measured: a relaxed Bi3SbI crystal at the PBE level of DFT.

a = 4.378 Å, b = 8.015 Å, c = 10.699 Å
α = 90.00°, β = 101.25°, γ = 90.00°
Positions (direct):
Bi (0.096, 0.250, 0.178)
Bi (0.332, 0.527, 0.670)
Bi (0.332, 0.973, 0.670)
Bi (0.668, 0.027, 0.330)
Bi (0.668, 0.473, 0.330)
Bi (0.904, 0.750, 0.822)
Sb (0.217, 0.750, 0.431)
Sb (0.783, 0.250, 0.569)
I (0.472, 0.250, 0.922)
I (0.528, 0.750, 0.078)

Output
Crystal system = monoclinic
SG = P2_1/m, No. 11

---

B.
Computed, not measured: a relaxed Bi3SbI crystal at the PBE level of DFT.

a = 5.922 Å, b = 5.922 Å, c = 5.922 Å
α = 90.00°, β = 90.00°, γ = 90.00°
Positions (direct):
Bi (0.000, 0.000, 0.500)
Bi (0.000, 0.500, 0.000)
Bi (0.500, 0.000, 0.000)
Sb (0.000, 0.000, 0.000)
I (0.500, 0.500, 0.500)

Output
Crystal system = cubic
SG = Pm-3m, No. 221

---

Most stable structure: A

---

A.
Computed, not measured: a relaxed Bi2Sb2I crystal at the PBE level of DFT.

a = 9.106 Å, b = 9.106 Å, c = 3.903 Å
α = 90.00°, β = 90.00°, γ = 90.00°
Positions (direct):
Bi (0.148, 0.352, 0.000)
Bi (0.352, 0.852, 0.000)
Bi (0.648, 0.148, 0.000)
Bi (0.852, 0.648, 0.000)
Sb (0.136, 0.636, 0.500)
Sb (0.364, 0.136, 0.500)
Sb (0.636, 0.864, 0.500)
Sb (0.864, 0.364, 0.500)
I (0.000, 0.000, 0.000)
I (0.500, 0.500, 0.000)

Output
Crystal system = tetragonal
SG = P4/mbm, No. 127

---

B.
Computed, not measured: a relaxed Bi2Sb2I crystal at the PBE level of DFT.

a = 8.637 Å, b = 8.637 Å, c = 8.637 Å
α = 128.69°, β = 128.69°, γ = 75.52°
Positions (direct):
Bi (0.277, 0.000, 0.277)
Bi (0.723, 0.000, 0.723)
Bi (0.750, 0.527, 0.777)
Bi (0.750, 0.973, 0.223)
Sb (0.000, 0.215, 0.785)
Sb (0.430, 0.215, 0.215)
Sb (0.965, 0.250, 0.285)
Sb (0.965, 0.680, 0.715)
I (0.243, 0.743, 0.500)
I (0.493, 0.493, 0.000)

Output
Crystal system = tetragonal
SG = I4_1md, No. 109

---

Most stable structure: B

---

A.
Computed, not measured: a relaxed Bi2Sb2I crystal at the PBE level of DFT.

a = 7.417 Å, b = 7.417 Å, c = 7.417 Å
α = 137.65°, β = 137.65°, γ = 61.44°
Positions (direct):
Bi (0.250, 0.750, 0.500)
Bi (0.750, 0.250, 0.500)
Sb (0.126, 0.126, 0.000)
Sb (0.874, 0.874, 0.000)
I (0.500, 0.500, 0.000)

Output
Crystal system = tetragonal
SG = I4/mmm, No. 139

---

B.
Computed, not measured: a relaxed Bi2Sb2I crystal at the PBE level of DFT.

a = 7.983 Å, b = 7.983 Å, c = 7.983 Å
α = 142.52°, β = 142.52°, γ = 54.05°
Positions (direct):
Bi (0.129, 0.129, 0.000)
Bi (0.871, 0.871, 0.000)
Sb (0.250, 0.750, 0.500)
Sb (0.750, 0.250, 0.500)
I (0.500, 0.500, 0.000)

Output
Crystal system = tetragonal
SG = I4/mmm, No. 139

---

Most stable structure: B